(1)
Here is a relaxed structure of Ir4Pt3 from the Alexandria database. Energies are from PBE-GGA.

Cell: 9.7670 9.7670 9.7670 Å, 160.15 160.15 28.22°
Last column: nearest neighbours and their distance in Å.
Element x y z (fractional)
Ir: 0.8604 0.8604 0.0000  6 Pt 2.64-2.79, 4 Ir 2.69
Pt: 0.2870 0.2870 0.0000  6 Ir 2.65-2.79, 4 Pt 2.76
Ir: 0.1396 0.1396 0.0000  6 Pt 2.64-2.79, 4 Ir 2.69
Ir: 0.5731 0.5731 0.0000  5 Pt 2.65-2.75, 5 Ir 2.69-2.77
Pt: 0.0000 0.0000 0.0000  10 Ir 2.64-2.75
Ir: 0.4269 0.4269 0.0000  5 Pt 2.65-2.75, 5 Ir 2.69-2.77
Pt: 0.7130 0.7130 0.0000  6 Ir 2.65-2.79, 4 Pt 2.76

Properties
- space group = I4/mmm (139)
- V (Å³/atom) = 15.34
- raw total energy (eV for the cell shown) = -52.2
- formation energy (eV per atom) = 0.19
- D(E_F) (states/eV/f.u.) = 8.81

(2)
Here is a relaxed structure of Tm2LuAg from the Alexandria database. Energies are from PBE-GGA.

Cell: 3.4968 3.4968 8.7065 Å, 90.00 90.00 90.00°
Last column: nearest neighbours and their distance in Å.
Element x y z (fractional)
Tm: 0.0000 0.0000 0.7817  4 Ag 3.12, 4 Lu 3.48
Ag: 0.5000 0.5000 0.0000  8 Tm 3.12
Lu: 0.5000 0.5000 0.5000  8 Tm 3.48, 4 Lu 3.50
Tm: 0.0000 0.0000 0.2183  4 Ag 3.12, 4 Lu 3.48

Properties
- space group = P4/mmm (123)
- V (Å³/atom) = 26.61
- relative energy among the computed polymorphs (eV/f.u.) = 0.00
- raw total energy (eV for the cell shown) = -16.8
- formation energy (eV per atom) = -0.13
- D(E_F) (states/eV/f.u.) = 4.26

(3)
Here is a relaxed structure of GeAs from the Alexandria database. Energies are from PBE-GGA.

Cell: 11.2314 11.2314 3.8908 Å, 90.00 90.00 90.00°
Last column: nearest neighbours and their distance in Å.
Element x y z (fractional)
Ge: 0.6333 0.1992 0.0000  4 As 2.53-2.71
Ge: 0.1333 0.6992 0.5000  4 As 2.53-2.71
As: 0.7362 0.0976 0.5000  4 Ge 2.53-2.71
As: 0.5976 0.7638 0.0000  4 Ge 2.53-2.71
Ge: 0.3667 0.8008 0.0000  4 As 2.53-2.71
Ge: 0.6992 0.8667 0.5000  4 As 2.53-2.71
As: 0.7638 0.4024 0.0000  4 Ge 2.53-2.71
Ge: 0.1992 0.3667 0.0000  4 As 2.53-2.71
As: 0.4024 0.2362 0.0000  4 Ge 2.53-2.71
As: 0.9024 0.7362 0.5000  4 Ge 2.53-2.71
Ge: 0.3008 0.1333 0.5000  4 As 2.53-2.71
Ge: 0.8667 0.3008 0.5000  4 As 2.53-2.71
As: 0.0976 0.2638 0.5000  4 Ge 2.53-2.71
As: 0.2638 0.9024 0.5000  4 Ge 2.53-2.71
As: 0.2362 0.5976 0.0000  4 Ge 2.53-2.71
Ge: 0.8008 0.6333 0.0000  4 As 2.53-2.71

Properties
- space group = I4/m (87)
- V (Å³/atom) = 30.67
- raw total energy (eV for the cell shown) = -70.6
- formation energy (eV per atom) = 0.22
- D(E_F) (states/eV/f.u.) = 0.77

(4)
Here is a relaxed structure of RbYW3 from the Alexandria database. Energies are from PBE-GGA.

Cell: 5.0975 5.0975 5.0975 Å, 90.00 90.00 90.00°
Last column: nearest neighbours and their distance in Å.
Element x y z (fractional)
W: 0.0000 0.0000 0.5000  2 Y 2.55
W: 0.5000 0.0000 0.0000  2 Y 2.55
Y: 0.0000 0.0000 0.0000  6 W 2.55
W: 0.0000 0.5000 0.0000  2 Y 2.55
Rb: 0.5000 0.5000 0.5000  12 W 3.60

Properties
- space group = Pm-3m (221)
- V (Å³/atom) = 26.49
- raw total energy (eV for the cell shown) = -30.5
- formation energy (eV per atom) = 3.16
- D(E_F) (states/eV/f.u.) = 9.09

The highest formation energy belongs to which entry? RbYW3